1.
VASP calculation (GGA-PBEsol) on a relaxed structure of Sr2Tl2Ir.

abc: 4.0020 4.0020 9.9227
angles: 101.63 101.63 90.00
With the nearest neighbours (Å) after each atom.
Fractional positions:
1 Ir 0.0000 0.0000 0.0000  8 Sr 3.26
2 Sr 0.4152 0.4152 0.8305  1 Sr 3.22, 4 Ir 3.26
3 Sr 0.5848 0.5848 0.1695  1 Sr 3.22, 4 Ir 3.26
4 Tl 0.2500 0.7500 0.5000  4 Tl 2.83
5 Tl 0.7500 0.2500 0.5000  4 Tl 2.83

Computed properties:
Space-group type   I4/mmm
Energy relative to the elements   164 meV/atom
Raw total energy   -3.59 eV per atom
Crystal system   tetragonal



2.
VASP calculation (GGA-PBEsol) on a relaxed structure of DyPS4.

abc: 10.5703 12.0037 10.5703
angles: 63.88 90.00 116.12
With the nearest neighbours (Å) after each atom.
Fractional positions:
1 Dy 0.7500 0.5000 0.7500  8 S 2.78-2.96
2 Dy 0.5000 0.0000 0.5000  8 S 2.78-2.96
3 Dy 0.5000 0.0000 0.0000  8 S 2.85-2.87
4 Dy 0.2500 0.5000 0.7500  8 S 2.85-2.87
5 Dy 0.7500 0.5000 0.2500  8 S 2.85-2.87
6 Dy 0.0000 0.0000 0.5000  8 S 2.85-2.87
7 Dy 0.2500 0.5000 0.2500  8 S 2.78-2.96
8 Dy 0.0000 0.0000 0.0000  8 S 2.78-2.96
9 P 0.6636 0.2500 0.1250  4 S 2.04
10 P 0.1636 0.2500 0.1250  4 S 2.04
11 P 0.5864 0.2500 0.6250  4 S 2.04
12 P 0.6250 0.7500 0.1636  4 S 2.04
13 P 0.1250 0.7500 0.5864  4 S 2.04
14 P 0.0864 0.2500 0.6250  4 S 2.04
15 P 0.6250 0.7500 0.6636  4 S 2.04
16 P 0.1250 0.7500 0.0864  4 S 2.04
17 S 0.2827 0.4310 0.5311  1 P 2.04
18 S 0.2672 0.2556 0.9574  1 P 2.04
19 S 0.1482 0.4310 0.0379  1 P 2.04
20 S 0.2871 0.7444 0.4884  1 P 2.04
21 S 0.7121 0.9310 0.4673  1 P 2.04
22 S 0.4574 0.7444 0.7672  1 P 2.04
23 S 0.5379 0.5690 0.6482  1 P 2.04
24 S 0.7926 0.7556 0.7616  1 P 2.04
25 S 0.9629 0.7556 0.4828  1 P 2.04
26 S 0.0379 0.5690 0.2827  1 P 2.04
27 S 0.0311 0.5690 0.7827  1 P 2.04
28 S 0.2926 0.7556 0.9828  1 P 2.04
29 S 0.2189 0.9310 0.6018  1 P 2.04
30 S 0.9574 0.7444 0.9884  1 P 2.04
31 S 0.6482 0.4310 0.0311  1 P 2.04
32 S 0.9884 0.2556 0.7871  1 P 2.04
33 S 0.4629 0.7556 0.2616  1 P 2.04
34 S 0.7616 0.2444 0.9629  1 P 2.04
35 S 0.5311 0.5690 0.1482  1 P 2.04
36 S 0.9673 0.0690 0.2121  1 P 2.04
37 S 0.1018 0.0690 0.7189  1 P 2.04
38 S 0.2616 0.2444 0.2926  1 P 2.04
39 S 0.6018 0.0690 0.7121  1 P 2.04
40 S 0.4673 0.0690 0.2189  1 P 2.04
41 S 0.4828 0.2444 0.7926  1 P 2.04
42 S 0.4884 0.2556 0.4574  1 P 2.04
43 S 0.9828 0.2444 0.4629  1 P 2.04
44 S 0.2121 0.9310 0.1018  1 P 2.04
45 S 0.7189 0.9310 0.9673  1 P 2.04
46 S 0.7871 0.7444 0.2672  1 P 2.04
47 S 0.7827 0.4310 0.5379  1 P 2.04
48 S 0.7672 0.2556 0.2871  1 P 2.04

Computed properties:
Formation energy (no corrections)   -6.41 eV/f.u.
Space-group type   I4_1/acd
Raw total energy   -5.79 eV per atom
Crystal system   tetragonal



3.
VASP calculation (GGA-PBEsol) on a relaxed structure of Mg2B2O5.

abc: 3.1131 9.2298 12.3514
angles: 104.45 90.00 90.00
With the nearest neighbours (Å) after each atom.
Fractional positions:
1 O 0.2798 0.8191 0.4529  1 B 1.36
2 O 0.5741 0.6994 0.0690  2 B 1.42-1.43
3 O 0.7202 0.1809 0.5471  1 B 1.36
4 O 0.2202 0.8191 0.9529  1 B 1.36
5 O 0.7798 0.1809 0.0471  1 B 1.36
6 O 0.2240 0.2574 0.7382  1 B 1.37
7 O 0.9259 0.6994 0.5690  2 B 1.42-1.43
8 O 0.8016 0.4956 0.1379  1 B 1.35
9 O 0.3016 0.5044 0.3621  1 B 1.35
10 O 0.6984 0.4956 0.6379  1 B 1.35
11 O 0.7849 0.0539 0.3477  1 B 1.37
12 O 0.2151 0.9461 0.6523  1 B 1.37
13 O 0.2760 0.2574 0.2382  1 B 1.37
14 O 0.0741 0.3006 0.4310  2 B 1.42-1.43
15 O 0.7240 0.7426 0.7618  1 B 1.37
16 O 0.2849 0.9461 0.1523  1 B 1.37
17 O 0.7151 0.0539 0.8477  1 B 1.37
18 O 0.7760 0.7426 0.2618  1 B 1.37
19 O 0.1984 0.5044 0.8621  1 B 1.35
20 O 0.4259 0.3006 0.9310  2 B 1.42-1.43
21 Mg 0.7856 0.1021 0.1862  6 O 2.03-2.15
22 Mg 0.2077 0.3550 0.6056  5 O 1.98-2.20
23 Mg 0.7923 0.6450 0.3944  5 O 1.98-2.20
24 Mg 0.2923 0.3550 0.1056  5 O 1.98-2.20
25 Mg 0.2144 0.8979 0.8138  6 O 2.03-2.15
26 Mg 0.7077 0.6450 0.8944  5 O 1.98-2.20
27 Mg 0.2856 0.8979 0.3138  6 O 2.03-2.15
28 Mg 0.7144 0.1021 0.6862  6 O 2.03-2.15
29 B 0.6549 0.1699 0.9398  3 O 1.36-1.43
30 B 0.2255 0.3563 0.3407  3 O 1.35-1.42
31 B 0.1549 0.8301 0.5602  3 O 1.36-1.43
32 B 0.3451 0.8301 0.0602  3 O 1.36-1.43
33 B 0.2745 0.3563 0.8407  3 O 1.35-1.42
34 B 0.7745 0.6437 0.6593  3 O 1.35-1.42
35 B 0.8451 0.1699 0.4398  3 O 1.36-1.43
36 B 0.7255 0.6437 0.1593  3 O 1.35-1.42

Computed properties:
Formation energy (no corrections)   -23.85 eV/f.u.
Space-group type   P2_1/c
Raw total energy   -7.51 eV per atom
Crystal system   monoclinic



4.
VASP calculation (GGA-PBEsol) on a relaxed structure of YAl5.

abc: 4.1552 4.2701 6.4660
angles: 90.00 108.74 90.00
With the nearest neighbours (Å) after each atom.
Fractional positions:
1 Al 0.8232 0.0000 0.6464  10 Al 2.74-3.04, 2 Y 3.00
2 Al 0.0000 0.5000 0.0000  8 Al 2.97-3.04, 4 Y 2.98
3 Al 0.1768 0.0000 0.3536  10 Al 2.74-3.04, 2 Y 3.00
4 Al 0.3269 0.5000 0.6539  10 Al 2.80-2.98, 2 Y 3.01
5 Al 0.6731 0.5000 0.3461  10 Al 2.80-2.98, 2 Y 3.01
6 Y 0.5000 0.0000 0.0000  12 Al 2.98-3.01

Computed properties:
Space-group type   Cmmm
Energy relative to the elements   -236 meV/atom
Raw total energy   -4.78 eV per atom
Crystal system   orthorhombic



5.
VASP calculation (GGA-PBEsol) on a relaxed structure of Cr3C.

abc: 2.6938 4.0919 4.3302
angles: 118.20 108.12 90.00
With the nearest neighbours (Å) after each atom.
Fractional positions:
1 Cr 0.5000 0.0000 0.0000  4 C 2.45, 10 Cr 2.47-2.69
2 Cr 0.3068 0.3068 0.6135  2 C 1.93
3 Cr 0.6932 0.6932 0.3865  2 C 1.93
4 C 0.0000 0.5000 0.0000  4 Cr 1.93

Computed properties:
Space-group type   Immm
Energy relative to the elements   298 meV/atom
Excess energy over the best structure of this formula in the dataset   449 meV per atom
Raw total energy   -9.79 eV per atom
Crystal system   orthorhombic



6.
VASP calculation (GGA-PBEsol) on a relaxed structure of CaSi2SbRu.

abc: 4.9227 4.9227 5.3652
angles: 90.00 90.00 90.00
With the nearest neighbours (Å) after each atom.
Fractional positions:
1 Si 0.5000 0.0000 0.0000  2 Ca 2.46
2 Si 0.0000 0.5000 0.0000  2 Ca 2.46
3 Ru 0.5000 0.5000 0.5000  4 Sb 3.48, 8 Si 3.64
4 Sb 0.0000 0.0000 0.5000  2 Ca 2.68
5 Ca 0.0000 0.0000 0.0000  4 Si 2.46, 2 Sb 2.68

Computed properties:
Formation energy (no corrections)   9.95 eV/f.u.
Space-group type   P4/mmm
Raw total energy   -3.68 eV per atom
Crystal system   tetragonal



7.
VASP calculation (GGA-PBEsol) on a relaxed structure of Co3IrOs.

abc: 4.3292 4.3292 4.3292
angles: 90.00 90.00 90.00
With the nearest neighbours (Å) after each atom.
Fractional positions:
1 Co 0.0000 0.0000 0.5000  2 Ir 2.16
2 Co 0.0000 0.5000 0.0000  2 Ir 2.16
3 Co 0.5000 0.0000 0.0000  2 Ir 2.16
4 Ir 0.0000 0.0000 0.0000  6 Co 2.16
5 Os 0.5000 0.5000 0.5000  12 Co 3.06

Computed properties:
Space-group type   Pm-3m
Energy relative to the elements   2114 meV/atom
Raw total energy   -6.94 eV per atom
Crystal system   cubic



8.
VASP calculation (GGA-PBEsol) on a relaxed structure of Li5Ni5Sb2O12.

abc: 5.1346 5.1706 9.8465
angles: 84.52 78.91 60.23
With the nearest neighbours (Å) after each atom.
Fractional positions:
1 O 0.3873 0.4987 0.6205  1 Sb 2.01, 2 Ni 2.08-2.11, 3 Li 2.09-2.15
2 O 0.6248 0.4848 0.8839  1 Sb 2.01, 3 Ni 2.07-2.18, 1 Li 2.23
3 O 0.2873 0.1739 0.8816  1 Sb 2.02, 3 Ni 2.05-2.16, 2 Li 2.14-2.16
4 O 0.1140 0.4987 0.3795  1 Sb 2.01, 2 Ni 2.08-2.11, 3 Li 2.09-2.15
5 O 0.7729 0.1999 0.3784  1 Sb 2.02, 2 Ni 2.03-2.06, 3 Li 2.09-2.22
6 O 0.7025 0.8252 0.6202  1 Sb 2.01, 3 Li 2.04-2.10, 2 Ni 2.11
7 O 0.8904 0.4848 0.1161  1 Sb 2.01, 3 Ni 2.07-2.18, 1 Li 2.23
8 O 0.9732 0.8092 0.8806  1 Sb 2.03, 3 Ni 2.07-2.11, 2 Li 2.12-2.26
9 O 0.4722 0.8252 0.3798  1 Sb 2.01, 3 Li 2.04-2.10, 2 Ni 2.11
10 O 0.2176 0.8092 0.1194  1 Sb 2.03, 3 Ni 2.07-2.11, 2 Li 2.12-2.26
11 O 0.5388 0.1739 0.1184  1 Sb 2.02, 3 Ni 2.05-2.16, 2 Li 2.14-2.16
12 O 0.0272 0.1999 0.6216  1 Sb 2.02, 2 Ni 2.03-2.06, 3 Li 2.09-2.22
13 Ni 0.4928 0.5061 0.2534  6 O 2.03-2.18
14 Ni 0.9228 0.1545 0.0000  6 O 2.05-2.11
15 Ni 0.4130 0.1740 0.5000  6 O 2.06-2.11
16 Ni 0.0011 0.5061 0.7466  6 O 2.03-2.18
17 Ni 0.5876 0.8248 0.0000  6 O 2.07-2.13
18 Li 0.8237 0.8590 0.2581  5 O 2.04-2.16
19 Li 0.1786 0.1522 0.2601  6 O 2.07-2.26
20 Li 0.0850 0.8299 0.5000  6 O 2.10-2.22
21 Li 0.6692 0.1522 0.7399  6 O 2.07-2.26
22 Li 0.3174 0.8590 0.7419  5 O 2.04-2.16
23 Sb 0.2555 0.4889 0.0000  6 O 2.01-2.03
24 Sb 0.7450 0.5099 0.5000  6 O 2.01-2.02

Computed properties:
Formation energy (no corrections)   -31.10 eV/f.u.
Space-group type   C2
Raw total energy   -5.99 eV per atom
Crystal system   monoclinic



9.
VASP calculation (GGA-PBEsol) on a relaxed structure of TaCdP2.

abc: 3.2547 3.5231 6.6454
angles: 105.37 104.18 90.00
With the nearest neighbours (Å) after each atom.
Fractional positions:
1 P 0.8087 0.3087 0.6174  2 Ta 2.47, 4 Cd 2.72
2 P 0.0273 0.0273 0.0546  4 Ta 2.54, 2 Cd 2.82
3 Cd 0.2051 0.7051 0.4103  6 P 2.72-2.82
4 Ta 0.4589 0.4589 0.9177  6 P 2.47-2.54

Computed properties:
Space-group type   Imm2
Energy relative to the elements   -191 meV/atom
Raw total energy   -6.52 eV per atom
Crystal system   orthorhombic



10.
VASP calculation (GGA-PBEsol) on a relaxed structure of Ba2YHgH.

abc: 3.9504 6.5034 6.5034
angles: 90.00 90.00 90.00
With the nearest neighbours (Å) after each atom.
Fractional positions:
1 Y 0.0000 0.0000 0.0000  2 H 1.98
2 Hg 0.5000 0.5000 0.5000  8 Ba 3.80, 2 Hg 3.95
3 H 0.5000 0.0000 0.0000  2 Y 1.98
4 Ba 0.0000 0.0000 0.5000  2 Y 3.25
5 Ba 0.0000 0.5000 0.0000  2 Y 3.25

Computed properties:
Space-group type   P4/mmm
Raw total energy   -2.80 eV per atom
Crystal system   tetragonal



Question: What is the formula in the first record?
Answer: Sr2Tl2Ir



Question: The highest raw total energy belongs to which entry?
Answer: Ba2YHgH



Question: The highest raw total energy belongs to which entry?
Answer: Ba2YHgH



Question: Which formula does entry 8 have?
Answer: Li5Ni5Sb2O12